DFT (PBE+U) results for a relaxed WN2OF crystal.

Computed properties:
Space-group type: P4/mmm, No. 123
DFT total energy in eV per atom: -4.587
Size of the total moment in Bohr magnetons per cell: 1.353

abc: 3.6827 3.6827 3.5158
angles: 90.00 90.00 90.00
Last column: magnetic moment on the atom in μB.
Fractional coordinates of all 5 atoms:
N 0.0000 0.5000 0.0000  0.39
N 0.5000 0.0000 0.0000  0.39
O 0.0000 0.0000 0.0000  0.01
W 0.5000 0.5000 0.5000  -2.23
F 0.0000 0.0000 0.5000  0.01